i) DFT (PBE) results for a relaxed MgBrOF2 crystal.

a b c (Å): 4.6029 4.6029 4.0486
angles (deg): 90.00 90.00 90.00
Fractional positions:
1 O 0.0000 0.0000 0.5000
2 Mg 0.5000 0.5000 0.5000
3 F 0.0000 0.5000 0.0000
4 F 0.5000 0.0000 0.0000
5 Br 0.0000 0.0000 0.0000

Output
- Symmetry: No. 123


ii) DFT (PBE) results for a relaxed MgBrOF2 crystal.

a b c (Å): 3.6878 3.6878 5.1531
angles (deg): 90.00 90.00 90.00
Fractional positions:
1 F 0.0000 0.5000 0.0000
2 F 0.5000 0.0000 0.0000
3 O 0.0000 0.0000 0.5000
4 Br 0.5000 0.5000 0.5000
5 Mg 0.0000 0.0000 0.0000

Output
- Symmetry: No. 123


ii) is the most stable structure; the next one sits 982 meV per atom above it.